(1)
# Cs2Rb2H4Pt GGA-PBE relaxed
data_Cs2Rb2H4Pt
_space_group_name_H-M_alt 'I 4/m m m'
_space_group_IT_number 139
_space_group_name_Hall '-I 4 2'
_cell_length_a 8.191
_cell_length_b 8.191
_cell_length_c 9.746
_cell_angle_alpha 90.00
_cell_angle_beta 90.00
_cell_angle_gamma 90.00
loop_
_atom_site_label
_atom_site_type_symbol
_atom_site_fract_x
_atom_site_fract_y
_atom_site_fract_z
Cs1 Cs 0.000 0.500 0.250
Rb1 Rb 0.000 0.000 0.191
H1 H 0.145 0.145 0.500
Pt1 Pt 0.000 0.000 0.500
# VASP energy = -2.669 eV/atom
# magnetic moment = 0.000 μB/f.u.
# calculated volume = 36.3 A^3/atom


(2)
# LiThInPd GGA-PBE relaxed
data_LiThInPd
_space_group_name_H-M_alt 'F -4 3 m'
_space_group_IT_number 216
_space_group_name_Hall 'F -4 2 3'
_cell_length_a 6.942
_cell_length_b 6.942
_cell_length_c 6.942
_cell_angle_alpha 90.00
_cell_angle_beta 90.00
_cell_angle_gamma 90.00
loop_
_atom_site_label
_atom_site_type_symbol
_atom_site_fract_x
_atom_site_fract_y
_atom_site_fract_z
Li1 Li 0.000 0.000 0.000
Th1 Th 0.250 0.250 0.250
In1 In 0.250 0.250 0.750
Pd1 Pd 0.000 0.000 0.500
# DFT formation energy = -544 meV per atom
# magnetic moment = 0.000 μB/f.u.
# calculated volume = 20.9 A^3/atom


(3)
# Pm6Nd2Tm GGA-PBE relaxed
data_Pm6Nd2Tm
_space_group_name_H-M_alt 'C m m m'
_space_group_IT_number 65
_space_group_name_Hall '-C 2 2'
_cell_length_a 9.926
_cell_length_b 17.257
_cell_length_c 3.554
_cell_angle_alpha 90.00
_cell_angle_beta 90.00
_cell_angle_gamma 90.00
loop_
_atom_site_label
_atom_site_type_symbol
_atom_site_fract_x
_atom_site_fract_y
_atom_site_fract_z
Pm1 Pm 0.166 0.165 0.000
Pm2 Pm 0.170 0.500 0.000
Nd1 Nd 0.000 0.333 0.500
Tm1 Tm 0.000 0.000 0.500
# excess energy over the best structure of this formula in the dataset = 0 meV per atom
# DFT formation energy = 56 meV per atom
# magnetic moment = 0.000 μB/f.u.
# calculated volume = 33.8 A^3/atom


(4)
# Sm3Y3Ni2 GGA-PBE relaxed
data_Sm3Y3Ni2
_space_group_name_H-M_alt 'C m c m'
_space_group_IT_number 63
_space_group_name_Hall '-C 2c 2'
_cell_length_a 3.672
_cell_length_b 13.254
_cell_length_c 18.637
_cell_angle_alpha 90.00
_cell_angle_beta 90.00
_cell_angle_gamma 90.00
loop_
_atom_site_label
_atom_site_type_symbol
_atom_site_fract_x
_atom_site_fract_y
_atom_site_fract_z
Sm1 Sm 0.000 0.054 0.250
Sm2 Sm 0.000 0.176 0.563
Y1 Y 0.000 0.224 0.750
Y2 Y 0.000 0.437 0.586
Ni1 Ni 0.000 0.201 0.140
# DFT formation energy = -127 meV per atom
# magnetic moment = 0.000 μB/f.u.
# calculated volume = 28.3 A^3/atom


(5)
# Sm5AlCd2 GGA-PBE relaxed
data_Sm5AlCd2
_space_group_name_H-M_alt 'I 4/m c m'
_space_group_IT_number 140
_space_group_name_Hall '-I 4 2c'
_cell_length_a 7.844
_cell_length_b 7.844
_cell_length_c 15.451
_cell_angle_alpha 90.00
_cell_angle_beta 90.00
_cell_angle_gamma 90.00
loop_
_atom_site_label
_atom_site_type_symbol
_atom_site_fract_x
_atom_site_fract_y
_atom_site_fract_z
Sm1 Sm 0.000 0.000 0.000
Sm2 Sm 0.166 0.334 0.157
Al1 Al 0.000 0.000 0.250
Cd1 Cd 0.127 0.373 0.500
# excess energy over the best structure of this formula in the dataset = 50 meV per atom
# DFT formation energy = -178 meV per atom
# magnetic moment = 0.000 μB/f.u.
# calculated volume = 29.7 A^3/atom


(6)
# LaTb6Y3Th2 GGA-PBE relaxed
data_LaTb6Y3Th2
_space_group_name_H-M_alt 'C 1 2/m 1'
_space_group_IT_number 12
_cell_length_a 6.221
_cell_length_b 10.767
_cell_length_c 11.833
_cell_angle_alpha 90.00
_cell_angle_beta 100.11
_cell_angle_gamma 90.00
loop_
_space_group_symop_operation_xyz
'x,y,z'
'-x,-y,-z'
'-x,y,-z'
'x,-y,z'
'x+1/2,y+1/2,z'
'-x+1/2,-y+1/2,-z'
'-x+1/2,y+1/2,-z'
'x+1/2,-y+1/2,z'
loop_
_atom_site_label
_atom_site_type_symbol
_atom_site_fract_x
_atom_site_fract_y
_atom_site_fract_z
La1 La 0.000 0.000 0.000
Tb1 Tb 0.245 0.500 0.248
Tb2 Tb 0.247 0.331 0.752
Y1 Y 0.000 0.167 0.500
Y2 Y 0.000 0.500 0.500
Th1 Th 0.000 0.333 0.000
# DFT formation energy = 31 meV per atom
# magnetic moment = 0.000 μB/f.u.
# calculated volume = 32.5 A^3/atom


(7)
# KPuUS4 GGA-PBE relaxed
data_KPuUS4
_space_group_name_H-M_alt 'I m m a'
_space_group_IT_number 74
_space_group_name_Hall '-I 2b 2'
_cell_length_a 8.333
_cell_length_b 8.483
_cell_length_c 11.835
_cell_angle_alpha 90.00
_cell_angle_beta 90.00
_cell_angle_gamma 90.00
loop_
_atom_site_label
_atom_site_type_symbol
_atom_site_fract_x
_atom_site_fract_y
_atom_site_fract_z
K1 K 0.000 0.250 0.125
Pu1 Pu 0.000 0.000 0.500
U1 U 0.250 0.250 0.750
S1 S 0.000 0.044 0.735
S2 S 0.214 0.250 0.525
# magnetic moment = 7.000 μB/f.u.
# uncorrected formation energy = -1.479 eV/atom
# calculated volume = 29.9 A^3/atom


(8)
# NaAgSnPt GGA-PBE relaxed
data_NaAgSnPt
_space_group_name_H-M_alt 'F -4 3 m'
_space_group_IT_number 216
_space_group_name_Hall 'F -4 2 3'
_cell_length_a 6.703
_cell_length_b 6.703
_cell_length_c 6.703
_cell_angle_alpha 90.00
_cell_angle_beta 90.00
_cell_angle_gamma 90.00
loop_
_atom_site_label
_atom_site_type_symbol
_atom_site_fract_x
_atom_site_fract_y
_atom_site_fract_z
Na1 Na 0.000 0.000 0.000
Ag1 Ag 0.250 0.250 0.750
Sn1 Sn 0.000 0.000 0.500
Pt1 Pt 0.250 0.250 0.250
# DFT formation energy = -207 meV per atom
# magnetic moment = 0.000 μB/f.u.
# calculated volume = 18.8 A^3/atom


(9)
# LiTc2Se GGA-PBE relaxed
data_LiTc2Se
_space_group_name_H-M_alt 'C m m m'
_space_group_IT_number 65
_space_group_name_Hall '-C 2 2'
_cell_length_a 2.990
_cell_length_b 4.620
_cell_length_c 8.970
_cell_angle_alpha 90.00
_cell_angle_beta 90.00
_cell_angle_gamma 90.00
loop_
_atom_site_label
_atom_site_type_symbol
_atom_site_fract_x
_atom_site_fract_y
_atom_site_fract_z
Li1 Li 0.000 0.000 0.000
Tc1 Tc 0.000 0.500 0.258
Se1 Se 0.000 0.000 0.500
# magnetic moment = 0.000 μB/f.u.
# uncorrected formation energy = 0.611 eV/atom
# calculated volume = 15.5 A^3/atom


(10)
# Y2CdHRu GGA-PBE relaxed
data_Y2CdHRu
_space_group_name_H-M_alt 'P 4/m m m'
_space_group_IT_number 123
_space_group_name_Hall '-P 4 2'
_cell_length_a 5.007
_cell_length_b 5.007
_cell_length_c 3.722
_cell_angle_alpha 90.00
_cell_angle_beta 90.00
_cell_angle_gamma 90.00
loop_
_atom_site_label
_atom_site_type_symbol
_atom_site_fract_x
_atom_site_fract_y
_atom_site_fract_z
Y1 Y 0.000 0.500 0.000
Cd1 Cd 0.000 0.000 0.500
H1 H 0.500 0.500 0.000
Ru1 Ru 0.500 0.500 0.500
# excess energy over the best structure of this formula in the dataset = 0 meV per atom
# magnetic moment = 0.000 μB/f.u.
# calculated volume = 18.7 A^3/atom


(11)
# ScTlHRh2 GGA-PBE relaxed
data_ScTlHRh2
_space_group_name_H-M_alt 'P 4/m m m'
_space_group_IT_number 123
_space_group_name_Hall '-P 4 2'
_cell_length_a 4.204
_cell_length_b 4.204
_cell_length_c 4.030
_cell_angle_alpha 90.00
_cell_angle_beta 90.00
_cell_angle_gamma 90.00
loop_
_atom_site_label
_atom_site_type_symbol
_atom_site_fract_x
_atom_site_fract_y
_atom_site_fract_z
Sc1 Sc 0.000 0.000 0.000
Tl1 Tl 0.500 0.500 0.000
H1 H 0.000 0.000 0.500
Rh1 Rh 0.000 0.500 0.500
# VASP energy = -5.760 eV/atom
# magnetic moment = 0.000 μB/f.u.
# calculated volume = 14.2 A^3/atom


(12)
# Cs6AgAu3 GGA-PBE relaxed
data_Cs6AgAu3
_space_group_name_H-M_alt 'P 1 21/m 1'
_space_group_IT_number 11
_cell_length_a 12.602
_cell_length_b 5.128
_cell_length_c 18.168
_cell_angle_alpha 90.00
_cell_angle_beta 108.79
_cell_angle_gamma 90.00
loop_
_space_group_symop_operation_xyz
'x,y,z'
'-x,-y,-z'
'-x,y+1/2,-z'
'x,-y+1/2,z'
loop_
_atom_site_label
_atom_site_type_symbol
_atom_site_fract_x
_atom_site_fract_y
_atom_site_fract_z
Cs1 Cs 0.018 0.250 0.168
Cs2 Cs 0.090 0.750 0.610
Cs3 Cs 0.253 0.750 0.095
Cs4 Cs 0.296 0.750 0.410
Cs5 Cs 0.344 0.250 0.921
Cs6 Cs 0.424 0.250 0.702
Ag1 Ag 0.352 0.250 0.256
Au1 Au 0.055 0.250 0.980
Au2 Au 0.198 0.250 0.514
Au3 Au 0.479 0.250 0.143
# DFT formation energy = -184 meV per atom
# magnetic moment = 0.000 μB/f.u.
# calculated volume = 55.6 A^3/atom


(13)
# TlRuBr5 GGA-PBE relaxed
data_TlRuBr5
_space_group_name_H-M_alt 'C 1 2/c 1'
_space_group_IT_number 15
_cell_length_a 14.583
_cell_length_b 7.865
_cell_length_c 9.562
_cell_angle_alpha 90.00
_cell_angle_beta 110.70
_cell_angle_gamma 90.00
loop_
_space_group_symop_operation_xyz
'x,y,z'
'-x,-y,-z'
'-x,y,-z+1/2'
'x,-y,z+1/2'
'x+1/2,y+1/2,z'
'-x+1/2,-y+1/2,-z'
'-x+1/2,y+1/2,-z+1/2'
'x+1/2,-y+1/2,z+1/2'
loop_
_atom_site_label
_atom_site_type_symbol
_atom_site_fract_x
_atom_site_fract_y
_atom_site_fract_z
Tl1 Tl 0.000 0.051 0.250
Ru1 Ru 0.000 0.500 0.000
Br1 Br 0.000 0.386 0.750
Br2 Br 0.129 0.282 0.522
Br3 Br 0.130 0.285 0.118
# magnetic moment = 2.018 μB/f.u.
# uncorrected formation energy = -0.362 eV/atom
# calculated volume = 36.6 A^3/atom


(14)
# AgTeS2Cl GGA-PBE relaxed
data_AgTeS2Cl
_space_group_name_H-M_alt 'P 4/m m m'
_space_group_IT_number 123
_space_group_name_Hall '-P 4 2'
_cell_length_a 4.931
_cell_length_b 4.931
_cell_length_c 4.737
_cell_angle_alpha 90.00
_cell_angle_beta 90.00
_cell_angle_gamma 90.00
loop_
_atom_site_label
_atom_site_type_symbol
_atom_site_fract_x
_atom_site_fract_y
_atom_site_fract_z
Ag1 Ag 0.000 0.000 0.000
Te1 Te 0.500 0.500 0.500
S1 S 0.000 0.500 0.000
Cl1 Cl 0.000 0.000 0.500
# excess energy over the best structure of this formula in the dataset = 642 meV per atom
# magnetic moment = 0.000 μB/f.u.
# uncorrected formation energy = 0.519 eV/atom
# calculated volume = 23.0 A^3/atom


(15)
# Li4AcRh GGA-PBE relaxed
data_Li4AcRh
_space_group_name_H-M_alt 'F -4 3 m'
_space_group_IT_number 216
_space_group_name_Hall 'F -4 2 3'
_cell_length_a 7.668
_cell_length_b 7.668
_cell_length_c 7.668
_cell_angle_alpha 90.00
_cell_angle_beta 90.00
_cell_angle_gamma 90.00
loop_
_atom_site_label
_atom_site_type_symbol
_atom_site_fract_x
_atom_site_fract_y
_atom_site_fract_z
Li1 Li 0.121 0.121 0.121
Ac1 Ac 0.000 0.000 0.500
Rh1 Rh 0.250 0.250 0.750
# DFT formation energy = 5 meV per atom
# magnetic moment = 0.000 μB/f.u.
# calculated volume = 18.8 A^3/atom


(16)
# Nd6Er8Cd GGA-PBE relaxed
data_Nd6Er8Cd
_space_group_name_H-M_alt 'P -3'
_space_group_IT_number 147
_cell_length_a 9.4870
_cell_length_b 9.4870
_cell_length_c 6.2753
_cell_angle_alpha 90.00
_cell_angle_beta 90.00
_cell_angle_gamma 120.00
loop_
_space_group_symop_operation_xyz
'x,y,z'
'-x,-y,-z'
'-y,x-y,z'
'y,-x+y,-z'
'-x+y,-x,z'
'x-y,x,-z'
loop_
_atom_site_label
_atom_site_type_symbol
_atom_site_fract_x
_atom_site_fract_y
_atom_site_fract_z
Nd1 Nd 0.0898 0.6363 0.1925
Er1 Er 0.0411 0.7805 0.6936
Er2 Er 0.3333 0.6667 0.6870
Cd1 Cd 0.0000 0.0000 0.0000
# DFT formation energy = 81 meV per atom
# magnetic moment = 0.000 μB/f.u.
# calculated volume = 32.6 A^3/atom


(17)
# Si2NiPd GGA-PBE relaxed
data_Si2NiPd
_space_group_name_H-M_alt 'P m c 21'
_space_group_IT_number 26
_cell_length_a 3.323
_cell_length_b 5.993
_cell_length_c 5.476
_cell_angle_alpha 90.00
_cell_angle_beta 90.00
_cell_angle_gamma 90.00
loop_
_space_group_symop_operation_xyz
'x,y,z'
'-x,-y,z+1/2'
'-x,y,z'
'x,-y,z+1/2'
loop_
_atom_site_label
_atom_site_type_symbol
_atom_site_fract_x
_atom_site_fract_y
_atom_site_fract_z
Si1 Si 0.000 0.156 0.000
Si2 Si 0.500 0.302 0.644
Ni1 Ni 0.500 0.055 0.314
Pd1 Pd 0.000 0.434 0.322
# excess energy over the best structure of this formula in the dataset = 0 meV per atom
# magnetic moment = 0.000 μB/f.u.
# uncorrected formation energy = -0.511 eV/atom
# calculated volume = 13.6 A^3/atom


(18)
# Th6RuPb2 GGA-PBE relaxed
data_Th6RuPb2
_space_group_name_H-M_alt 'P 1 21/c 1'
_space_group_IT_number 14
_cell_length_a 6.426
_cell_length_b 8.241
_cell_length_c 12.174
_cell_angle_alpha 90.00
_cell_angle_beta 119.13
_cell_angle_gamma 90.00
loop_
_space_group_symop_operation_xyz
'x,y,z'
'-x,-y,-z'
'-x,y+1/2,-z+1/2'
'x,-y+1/2,z+1/2'
loop_
_atom_site_label
_atom_site_type_symbol
_atom_site_fract_x
_atom_site_fract_y
_atom_site_fract_z
Th1 Th 0.083 0.193 0.460
Th2 Th 0.327 0.675 0.463
Th3 Th 0.372 0.025 0.251
Ru1 Ru 0.500 0.000 0.500
Pb1 Pb 0.145 0.109 0.747
# DFT formation energy = -201 meV per atom
# magnetic moment = 0.000 μB/f.u.
# calculated volume = 31.3 A^3/atom


(19)
# Ho7Pd2Rh2 GGA-PBE relaxed
data_Ho7Pd2Rh2
_space_group_name_H-M_alt 'C m m m'
_space_group_IT_number 65
_space_group_name_Hall '-C 2 2'
_cell_length_a 7.863
_cell_length_b 10.542
_cell_length_c 6.910
_cell_angle_alpha 90.00
_cell_angle_beta 90.00
_cell_angle_gamma 90.00
loop_
_atom_site_label
_atom_site_type_symbol
_atom_site_fract_x
_atom_site_fract_y
_atom_site_fract_z
Ho1 Ho 0.000 0.000 0.000
Ho2 Ho 0.000 0.500 0.257
Ho3 Ho 0.250 0.250 0.263
Pd1 Pd 0.194 0.000 0.500
Rh1 Rh 0.000 0.287 0.000
# excess energy over the best structure of this formula in the dataset = 172 meV per atom
# DFT formation energy = -516 meV per atom
# magnetic moment = 0.000 μB/f.u.
# calculated volume = 26.0 A^3/atom


(20)
# MnOs2Cl GGA-PBE relaxed
data_MnOs2Cl
_space_group_name_H-M_alt 'P 1 m 1'
_space_group_IT_number 6
_cell_length_a 2.894
_cell_length_b 2.875
_cell_length_c 7.733
_cell_angle_alpha 90.00
_cell_angle_beta 90.05
_cell_angle_gamma 90.00
loop_
_space_group_symop_operation_xyz
'x,y,z'
'x,-y,z'
loop_
_atom_site_label
_atom_site_type_symbol
_atom_site_fract_x
_atom_site_fract_y
_atom_site_fract_z
Mn1 Mn 0.000 0.000 0.000
Os1 Os 0.499 0.500 0.758
Os2 Os 0.999 0.000 0.549
Cl1 Cl 0.998 0.500 0.272
# excess energy over the best structure of this formula in the dataset = 0 meV per atom
# magnetic moment = 4.511 μB/f.u.
# uncorrected formation energy = 0.318 eV/atom
# calculated volume = 16.1 A^3/atom